# NaSr2Cu2 | Alexandria | PBE-GGA | optimized geometry
# Energy of formation (eV per atom): 0.12
# Calculated volume (Å³/cell): 311.50
# Distance to the lowest polymorph of the same formula (meV per atom): 179
# E_tot (eV/atom): -2.455
data_NaSr2Cu2
_cell_length_a 5.9560
_cell_length_b 5.9560
_cell_length_c 8.7812
_cell_angle_alpha 90.00
_cell_angle_beta 90.00
_cell_angle_gamma 90.00
_symmetry_space_group_name_H-M 'I 4/m m m'
_symmetry_Int_Tables_number 139
_symmetry_space_group_name_Hall '-I 4 2'
loop_
_atom_site_label
_atom_site_type_symbol
_atom_site_fract_x
_atom_site_fract_y
_atom_site_fract_z
Na1 Na 0.0000 0.0000 0.0000
Sr1 Sr 0.0000 0.5000 0.2500
Cu1 Cu 0.0000 0.0000 0.3654


# NaSr2Cu | Alexandria | PBE-GGA | optimized geometry
# Energy of formation (eV per atom): 0.12
# Calculated volume (Å³/cell): 137.94
# Distance to the lowest polymorph of the same formula (meV per atom): 148
# E_tot (eV/atom): -2.070
data_NaSr2Cu
_cell_length_a 5.7197
_cell_length_b 5.7197
_cell_length_c 4.2165
_cell_angle_alpha 90.00
_cell_angle_beta 90.00
_cell_angle_gamma 90.00
_symmetry_space_group_name_H-M 'P 4/m m m'
_symmetry_Int_Tables_number 123
_symmetry_space_group_name_Hall '-P 4 2'
loop_
_atom_site_label
_atom_site_type_symbol
_atom_site_fract_x
_atom_site_fract_y
_atom_site_fract_z
Na1 Na 0.0000 0.0000 0.0000
Sr1 Sr 0.0000 0.5000 0.5000
Cu1 Cu 0.5000 0.5000 0.0000


# NaSr2Cu | Alexandria | PBE-GGA | optimized geometry
# Energy of formation (eV per atom): -0.02
# Calculated volume (Å³/cell): 598.71
# Distance to the lowest polymorph of the same formula (meV per atom): 0
# E_tot (eV/atom): -2.218
data_NaSr2Cu
_cell_length_a 15.0612
_cell_length_b 4.2313
_cell_length_c 9.4188
_cell_angle_alpha 90.00
_cell_angle_beta 94.11
_cell_angle_gamma 90.00
_symmetry_space_group_name_H-M 'C 1 2/m 1'
_symmetry_Int_Tables_number 12
_symmetry_space_group_name_Hall '-C 2y'
loop_
_atom_site_label
_atom_site_type_symbol
_atom_site_fract_x
_atom_site_fract_y
_atom_site_fract_z
Na1 Na 0.1337 0.0000 0.4715
Sr1 Sr 0.0324 0.5000 0.7949
Sr2 Sr 0.2276 0.5000 0.1677
Cu1 Cu 0.0842 0.0000 0.0343


# NaSrCu2 | Alexandria | PBE-GGA | optimized geometry
# Energy of formation (eV per atom): 0.31
# Calculated volume (Å³/cell): 442.14
# E_tot (eV/atom): -2.486
data_NaSrCu2
_cell_length_a 4.8568
_cell_length_b 4.8568
_cell_length_c 18.7437
_cell_angle_alpha 90.00
_cell_angle_beta 90.00
_cell_angle_gamma 90.00
_symmetry_space_group_name_H-M 'I 41/a m d'
_symmetry_Int_Tables_number 141
loop_
_symmetry_equiv_pos_as_xyz
'x,y,z'
'-x,-y,-z'
'-y+1/4,x+3/4,z+1/4'
'y+1/4,-x+3/4,-z+1/4'
'-x+1/2,-y,z+1/2'
'x+1/2,y,-z+1/2'
'y+1/4,-x+1/4,z+3/4'
'-y+1/4,x+1/4,-z+3/4'
'x,-y,-z'
'-x,y,z'
'-y+1/4,-x+1/4,-z+3/4'
'y+1/4,x+1/4,z+3/4'
'-x+1/2,y,-z+1/2'
'x+1/2,-y,z+1/2'
'y+1/4,x+3/4,-z+1/4'
'-y+1/4,-x+3/4,z+1/4'
'x+1/2,y+1/2,z+1/2'
'-x+1/2,-y+1/2,-z+1/2'
'-y+3/4,x+1/4,z+3/4'
'y+3/4,-x+1/4,-z+3/4'
'-x,-y+1/2,z'
'x,y+1/2,-z'
'y+3/4,-x+3/4,z+1/4'
'-y+3/4,x+3/4,-z+1/4'
'x+1/2,-y+1/2,-z+1/2'
'-x+1/2,y+1/2,z+1/2'
'-y+3/4,-x+3/4,-z+1/4'
'y+3/4,x+3/4,z+1/4'
'-x,y+1/2,-z'
'x,-y+1/2,z'
'y+3/4,x+1/4,-z+3/4'
'-y+3/4,-x+1/4,z+3/4'
loop_
_atom_site_label
_atom_site_type_symbol
_atom_site_fract_x
_atom_site_fract_y
_atom_site_fract_z
Na1 Na 0.0000 0.2500 0.3750
Sr1 Sr 0.0000 0.2500 0.8750
Cu1 Cu 0.0000 0.0000 0.5000